1.
DFT (PBE) results for AcInAu2 after structural relaxation.

Calculated values
**Volume**: 414.1 Å³/cell
**Spin magnetization**: 0.0 μB per cell
**SG**: No. 62
**Calculated total energy**: -4.04 eV/atom

a = 8.0784 Å, b = 4.7968 Å, c = 10.6855 Å
α = 90.00°, β = 90.00°, γ = 90.00°
Fractional positions:
Ac 0.1566 0.2500 0.8506
Ac 0.3434 0.7500 0.3506
Ac 0.6566 0.2500 0.6494
Ac 0.8434 0.7500 0.1494
In 0.5345 0.7500 0.9029
In 0.4655 0.2500 0.0971
In 0.0345 0.7500 0.5971
In 0.9655 0.2500 0.4029
Au 0.2428 0.7500 0.0518
Au 0.7428 0.7500 0.4482
Au 0.7572 0.2500 0.9482
Au 0.2572 0.2500 0.5518
Au 0.8794 0.7500 0.8269
Au 0.1206 0.2500 0.1731
Au 0.3794 0.7500 0.6731
Au 0.6206 0.2500 0.3269

=====

2.
DFT (PBE) results for Ac3IrAu2 after structural relaxation.

Calculated values
**Volume**: 378.2 Å³/cell
**Spin magnetization**: 0.0 μB per cell
**SG**: No. 15
**ΔE_f**: -0.789 eV/atom
**Calculated total energy**: -5.41 eV/atom

a = 7.8283 Å, b = 7.8283 Å, c = 8.8103 Å
α = 106.35°, β = 106.35°, γ = 47.41°
Fractional positions:
Ac 0.8522 0.8511 0.9258
Ac 0.8511 0.8522 0.4258
Ac 0.1478 0.1489 0.0742
Ac 0.4995 0.5005 0.7500
Ac 0.1489 0.1478 0.5742
Ac 0.5005 0.4995 0.2500
Ir 0.9995 0.0005 0.7500
Ir 0.0005 0.9995 0.2500
Au 0.3273 0.3261 0.9133
Au 0.6739 0.6727 0.5867
Au 0.3261 0.3273 0.4133
Au 0.6727 0.6739 0.0867